[1]
The following is a DFT calculation (PBEsol) of Be2TlTe after structural relaxation. Values from VASP.

Geometry as Quantum ESPRESSO input:
```
&SYSTEM
  ibrav = 0, nat = 8, ntyp = 3
/
ATOMIC_SPECIES
Be 9.01 Be.upf
Tl 204.38 Tl.upf
Te 127.60 Te.upf
ATOMIC_POSITIONS crystal
Be 0.1053 0.6250 0.9803
Be 0.3750 0.3553 0.4803
Be 0.6447 0.1250 0.0197
Be 0.8750 0.8947 0.5197
Tl 0.2500 0.7500 0.5000
Tl 0.5000 0.5000 0.0000
Te 0.0000 0.0000 0.0000
Te 0.7500 0.2500 0.5000
CELL_PARAMETERS angstrom
-3.0232 3.0232 4.8410
3.0232 -3.0232 4.8410
3.0232 3.0232 -4.8410
```

Computed properties:
calculated total energy: -0.115 hartree per atom
ρ: 6.57 Mg/m³

[2]
The following is a DFT calculation (PBEsol) of BeTeW3 after structural relaxation. Values from VASP.

Geometry as Quantum ESPRESSO input:
```
&SYSTEM
  ibrav = 0, nat = 5, ntyp = 3
/
ATOMIC_SPECIES
Be 9.01 Be.upf
Te 127.60 Te.upf
W 183.84 W.upf
ATOMIC_POSITIONS crystal
Be 0.0000 0.0000 0.0000
Te 0.5000 0.5000 0.5000
W 0.0000 0.0000 0.5000
W 0.0000 0.5000 0.0000
W 0.5000 0.0000 0.0000
CELL_PARAMETERS angstrom
4.2909 0.0000 0.0000
0.0000 4.2909 0.0000
0.0000 0.0000 4.2909
```

Computed properties:
calculated total energy: -0.316 hartree per atom
ρ: 14.46 Mg/m³

Total magnetization: 0.00; 0.00 (Bohr magnetons per cell)
Density of states at the Fermi level: 1.85; 4.22 (states/eV/f.u.)